[1]
Compound: CoTc2W
Source: Alexandria via LeMat-Bulk
Functional: PBE
Structure: optimized geometry

Energy above the lowest structure with this stoichiometry   0.098 eV/atom
E_form   0.130 eV per atom
Space group   C2/m

Cell and atoms, written as POSCAR:
```
CoTc2W
1.0
4.6514 -0.0149 0.0266
3.8560 2.6013 0.0266
0.7687 0.2337 4.6259
Co W Tc
1 1 2
Direct
0.2500 0.2500 0.2500
0.7500 0.7500 0.7500
0.9909 0.9909 0.0171
0.5091 0.5091 0.4829
```

[2]
Compound: TaCo3Au
Source: Alexandria via LeMat-Bulk
Functional: PBE
Structure: optimized geometry

Energy above the lowest structure with this stoichiometry   0.383 eV/atom
E_form   1.753 eV per atom
Space group   Pm-3m

Cell and atoms, written as POSCAR:
```
TaCo3Au
1.0
4.5525 0.0000 0.0000
0.0000 4.5525 0.0000
0.0000 0.0000 4.5525
Co Au Ta
3 1 1
Direct
0.0000 0.5000 0.0000
0.5000 0.0000 0.0000
0.0000 0.0000 0.5000
0.0000 0.0000 0.0000
0.5000 0.5000 0.5000
```

[3]
Compound: AlCrSb2
Source: Alexandria via LeMat-Bulk
Functional: PBE
Structure: optimized geometry

Formation energy without anion corrections   0.501 eV per atom
Space group   F-43m

Cell and atoms, written as POSCAR:
```
AlCrSb2
1.0
-1.6948 4.3987 1.7792
-4.8999 0.5865 1.0166
-1.5568 0.3529 4.7789
Sb Al Cr
2 1 1
Direct
0.0000 0.0000 0.0000
0.2500 0.2500 0.2500
0.5000 0.5000 0.5000
0.7500 0.7500 0.7500
```

[4]
Compound: Zn8Cu2Ni
Source: Alexandria via LeMat-Bulk
Functional: PBE
Structure: optimized geometry

Energy above the lowest structure with this stoichiometry   0.066 eV/atom
E_form   0.014 eV per atom
Space group   C2/m

Cell and atoms, written as POSCAR:
```
Zn8Cu2Ni
1.0
4.2847 0.8014 0.0000
1.3876 6.5386 0.0000
0.6938 3.2693 5.9173
Zn Ni Cu
8 1 2
Direct
0.2980 0.3895 0.0000
0.8581 0.3173 0.7793
0.1419 0.9034 0.7793
0.1419 0.6827 0.2207
0.5000 0.7924 0.4152
0.5000 0.2076 0.5848
0.8581 0.0966 0.2207
0.7020 0.6105 0.0000
0.5000 0.0000 0.0000
0.0000 0.6969 0.6063
0.0000 0.3031 0.3937
```

[5]
Compound: Ca3ZnAs3
Source: Alexandria via LeMat-Bulk
Functional: PBE
Structure: optimized geometry

E_form   -0.931 eV per atom
Space group   Cmce

Cell and atoms, written as POSCAR:
```
Ca3ZnAs3
1.0
-4.3063 3.4986 2.8667
-4.1911 -4.6103 -7.4719
-2.7544 -9.4176 7.3559
Ca Zn As
12 4 12
Direct
0.8800 0.3497 0.1309
0.8041 0.0000 0.3553
0.3041 0.0000 0.1447
0.1200 0.6503 0.8691
0.9697 0.3497 0.6309
0.1959 0.0000 0.6447
0.6200 0.6503 0.6309
0.5303 0.6503 0.1309
0.6959 0.0000 0.8553
0.0303 0.6503 0.3691
0.4697 0.3497 0.8691
0.3800 0.3497 0.3691
0.4147 0.8294 0.5000
0.0853 0.1706 0.0000
0.5853 0.1706 0.5000
0.9147 0.8294 0.0000
0.8860 0.3253 0.3771
0.3860 0.3253 0.1229
0.0608 0.6747 0.1229
0.1140 0.6747 0.6229
0.9392 0.3253 0.8771
0.7743 0.0000 0.1133
0.2743 0.0000 0.3867
0.6140 0.6747 0.8771
0.2257 0.0000 0.8867
0.4392 0.3253 0.6229
0.5608 0.6747 0.3771
0.7257 0.0000 0.6133
```

[6]
Compound: LiNbCCl2
Source: Alexandria via LeMat-Bulk
Functional: PBE
Structure: optimized geometry

Formation energy without anion corrections   1.098 eV per atom
Space group   P4/mmm

Cell and atoms, written as POSCAR:
```
LiNbCCl2
1.0
-2.2660 0.9781 4.0149
-3.6118 -4.9429 -0.8343
3.0799 -2.6530 2.3846
Li Nb C Cl
1 1 1 2
Direct
0.0000 0.5000 0.0000
0.0000 0.0000 0.0000
0.5000 0.5000 0.5000
0.5000 0.0000 0.0000
0.0000 0.0000 0.5000
```

[7]
Compound: Dy4Th3Sc2
Source: Alexandria via LeMat-Bulk
Functional: PBE
Structure: optimized geometry

Energy above the lowest structure with this stoichiometry   0.098 eV/atom
E_form   0.201 eV per atom
Space group   Fmmm

Cell and atoms, written as POSCAR:
```
Dy4Th3Sc2
1.0
-0.5821 6.4360 -2.0120
4.4808 -4.4906 -2.3594
-6.8831 -3.0890 -3.1563
Dy Sc Th
4 2 3
Direct
0.9482 0.6721 0.6203
0.0518 0.3279 0.3797
0.6721 0.9482 0.6203
0.3279 0.0518 0.3797
0.6070 0.6070 0.2141
0.3930 0.3930 0.7859
0.5000 0.0000 0.0000
0.0000 0.5000 0.0000
0.0000 0.0000 0.0000
```

[8]
Compound: InHg3Br
Source: Alexandria via LeMat-Bulk
Functional: PBE
Structure: optimized geometry

Formation energy without anion corrections   -0.194 eV per atom
Energy above the lowest structure with this stoichiometry   0.000 eV/atom
Space group   Ima2

Cell and atoms, written as POSCAR:
```
InHg3Br
1.0
9.1021 0.0000 -3.8105
-1.4664 6.4284 -3.5029
-2.2773 -0.8575 7.3365
Hg Br In
6 2 2
Direct
0.7994 0.3532 0.1600
0.6394 0.6468 0.8400
0.1394 0.6932 0.8400
0.6915 0.7289 0.5000
0.2994 0.3068 0.1600
0.1915 0.2711 0.5000
0.2450 0.7653 0.5000
0.7450 0.2347 0.5000
0.4664 0.0368 0.5000
0.9664 0.9632 0.5000
```

[9]
Compound: BaAlZn2Os
Source: Alexandria via LeMat-Bulk
Functional: PBE
Structure: optimized geometry

E_form   -0.164 eV per atom
Space group   P4/mmm

Cell and atoms, written as POSCAR:
```
BaAlZn2Os
1.0
4.9854 0.0000 0.0000
0.0000 4.9854 0.0000
0.0000 0.0000 4.7947
Ba Zn Al Os
1 2 1 1
Direct
0.5000 0.5000 0.5000
0.5000 0.0000 0.0000
0.0000 0.5000 0.0000
0.0000 0.0000 0.5000
0.0000 0.0000 0.0000
```

[10]
Compound: CoNi2Pt9
Source: Alexandria via LeMat-Bulk
Functional: PBE
Structure: optimized geometry

E_form   -0.073 eV per atom
Space group   P4/mmm

Cell and atoms, written as POSCAR:
```
CoNi2Pt9
1.0
-3.3190 -0.2838 1.9960
0.5548 -3.8248 0.3788
5.8247 1.8299 9.9454
Pt Ni Co
9 2 1
Direct
0.0000 0.5000 0.5000
0.5000 0.5000 0.6670
0.5000 0.0000 0.1661
0.5000 0.0000 0.8339
0.0000 0.5000 0.8339
0.5000 0.5000 0.0000
0.0000 0.5000 0.1661
0.5000 0.5000 0.3330
0.5000 0.0000 0.5000
0.0000 0.0000 0.6665
0.0000 0.0000 0.3335
0.0000 0.0000 0.0000
```

[11]
Compound: FeSiAs2
Source: Alexandria via LeMat-Bulk
Functional: PBE
Structure: optimized geometry

Formation energy without anion corrections   0.425 eV per atom
Space group   Cmmm

Cell and atoms, written as POSCAR:
```
FeSiAs2
1.0
4.4605 0.0234 0.0000
-1.0646 4.3317 0.0000
0.0000 0.0000 3.2308
Si As Fe
1 2 1
Direct
0.0000 0.5000 0.5000
0.5000 0.5000 0.0000
0.0000 0.0000 0.0000
0.5000 0.0000 0.5000
```

[12]
Compound: CaNdAu4
Source: Alexandria via LeMat-Bulk
Functional: PBE
Structure: optimized geometry

Energy above the lowest structure with this stoichiometry   0.021 eV/atom
E_form   -0.712 eV per atom
Space group   P2/m

Cell and atoms, written as POSCAR:
```
CaNdAu4
1.0
-1.7869 -2.9703 -0.7686
-0.0811 -2.0055 7.9480
-2.3749 5.3176 1.3746
Nd Au Ca
1 4 1
Direct
0.0000 0.0000 0.0000
0.4989 0.3322 0.9988
0.0015 0.1687 0.5018
0.9985 0.8313 0.4982
0.5011 0.6678 0.0012
0.5000 0.5000 0.5000
```

Q: Number 8 is which compound?
A: InHg3Br

Q: Number 7 is which compound?
A: Dy4Th3Sc2